# 1
A plane-wave DFT calculation with PBE was carried out for crystalline Nb4InPbC2 at its relaxed geometry.

Results
Raw total energy   -8.480 eV/atom
Space group   P-6m2, No. 187

Lattice parameters (Å, degrees): 3.2526 3.2526 14.3724 90.00 90.00 120.00
Positions (direct):
C  0.0000  0.0000  0.2490
C  0.0000  0.0000  0.7510
In  0.3333  0.6667  0.0000
Nb  0.6667  0.3333  0.1681
Nb  0.3333  0.6667  0.3297
Nb  0.3333  0.6667  0.6703
Nb  0.6667  0.3333  0.8319
Pb  0.6667  0.3333  0.5000

***

# 2
A plane-wave DFT calculation with PBE was carried out for crystalline Nb4InC2S at its relaxed geometry.

Results
Raw total energy   -8.811 eV/atom
Space group   P-6m2, No. 187

Lattice parameters (Å, degrees): 3.2542 3.2542 13.0857 90.00 90.00 120.00
Positions (direct):
C  0.0000  0.0000  0.2700
C  0.0000  0.0000  0.7300
In  0.3333  0.6667  0.0000
Nb  0.6667  0.3333  0.1844
Nb  0.3333  0.6667  0.3620
Nb  0.3333  0.6667  0.6380
Nb  0.6667  0.3333  0.8156
S  0.6667  0.3333  0.5000